Entry 1:
Density functional theory data (PBE) for a relaxed structure of TaV3W.

## Properties
The value obtained for the size of the total moment is 0.00 μB/cell. The calculated formation energy comes out at -0.014 eV/atom. The calculation puts the density of states at the Fermi level at 1.52 states/eV/atom.

abc: 4.3670 7.6606 9.3242
angles: 105.61 90.00 90.00
Last column: nearest neighbours and their distance in Å.
Atoms (fractional coordinates):
1 W 0.0000 0.8534 0.0503  6 V 2.65-2.68, 1 W 2.66, 1 Ta 2.75
2 W 0.0000 0.1466 0.9497  6 V 2.65-2.68, 1 W 2.66, 1 Ta 2.75
3 W 0.5000 0.8534 0.5503  6 V 2.65-2.68, 1 W 2.66, 1 Ta 2.75
4 W 0.5000 0.1466 0.4497  6 V 2.65-2.68, 1 W 2.66, 1 Ta 2.75
5 V 0.5000 0.7607 0.2529  4 V 2.62-2.65, 1 W 2.67, 3 Ta 2.72-2.75
6 V 0.0000 0.2393 0.2471  4 V 2.62-2.65, 1 W 2.67, 3 Ta 2.72-2.75
7 V 0.0000 0.6594 0.4583  3 V 2.65-2.76, 2 W 2.65, 3 Ta 2.72-2.75
8 V 0.5000 0.6594 0.9583  3 V 2.65-2.76, 2 W 2.65, 3 Ta 2.72-2.75
9 V 0.0000 0.9511 0.3485  5 V 2.62-2.72, 3 W 2.67-2.68
10 V 0.0000 0.7607 0.7529  4 V 2.62-2.65, 1 W 2.67, 3 Ta 2.72-2.75
11 V 0.5000 0.0489 0.1515  5 V 2.62-2.72, 3 W 2.67-2.68
12 V 0.0000 0.0489 0.6515  5 V 2.62-2.72, 3 W 2.67-2.68
13 V 0.5000 0.9511 0.8485  5 V 2.62-2.72, 3 W 2.67-2.68
14 V 0.5000 0.3406 0.0417  3 V 2.65-2.76, 2 W 2.65, 3 Ta 2.72-2.75
15 V 0.0000 0.3406 0.5417  3 V 2.65-2.76, 2 W 2.65, 3 Ta 2.72-2.75
16 V 0.5000 0.2393 0.7471  4 V 2.62-2.65, 1 W 2.67, 3 Ta 2.72-2.75
17 Ta 0.5000 0.4487 0.3442  6 V 2.72-2.75, 1 W 2.75, 3 Ta 2.80-3.04
18 Ta 0.0000 0.5513 0.1558  6 V 2.72-2.75, 1 W 2.75, 3 Ta 2.80-3.04
19 Ta 0.0000 0.4487 0.8442  6 V 2.72-2.75, 1 W 2.75, 3 Ta 2.80-3.04
20 Ta 0.5000 0.5513 0.6558  6 V 2.72-2.75, 1 W 2.75, 3 Ta 2.80-3.04

Entry 2:
Density functional theory data (PBE) for a relaxed structure of SrMoCl4.

## Properties
The value obtained for the size of the total moment is 6.08 μB/cell. For the formation energy from raw total energies, the calculation gives 0.101 eV per atom. The calculation puts the density of states at the Fermi level at 1.10 states/eV/atom.

abc: 6.0486 6.0486 6.0486
angles: 60.00 60.00 60.00
Last column: nearest neighbours and their distance in Å.
Atoms (fractional coordinates):
1 Mo 0.7500 0.7500 0.7500  12 Cl 3.55, 4 Sr 3.70
2 Cl 0.3752 0.8744 0.3752  6 Cl 3.02-3.03
3 Cl 0.8744 0.3752 0.3752  6 Cl 3.02-3.03
4 Cl 0.3752 0.3752 0.8744  6 Cl 3.02-3.03
5 Cl 0.3752 0.3752 0.3752  6 Cl 3.02-3.03
6 Sr 0.0000 0.0000 0.0000  12 Cl 3.55, 4 Mo 3.70

Entry 3:
Density functional theory data (PBE) for a relaxed structure of BaCd5Pd2.

## Properties
The value obtained for the size of the total moment is 0.00 μB/cell. The calculated formation energy comes out at -0.356 eV/atom. The calculation puts the density of states at the Fermi level at 0.45 states/eV/atom.

abc: 4.3854 7.1163 7.1163
angles: 71.87 72.05 72.05
Last column: nearest neighbours and their distance in Å.
Atoms (fractional coordinates):
1 Cd 0.3430 0.8427 0.4712  3 Pd 2.78-2.89, 1 Cd 3.10
2 Cd 0.6570 0.1573 0.5288  3 Pd 2.78-2.89, 1 Cd 3.10
3 Cd 0.3430 0.4712 0.8427  3 Pd 2.78-2.89, 1 Cd 3.10
4 Cd 0.6570 0.5288 0.1573  3 Pd 2.78-2.89, 1 Cd 3.10
5 Cd 0.0000 0.5000 0.5000  2 Pd 2.73
6 Ba 0.0000 0.0000 0.0000  4 Pd 3.40, 8 Cd 3.81
7 Pd 0.2560 0.2440 0.2440  7 Cd 2.73-2.89
8 Pd 0.7440 0.7560 0.7560  7 Cd 2.73-2.89

Entry 4:
Density functional theory data (PBE) for a relaxed structure of Er3Ni19B10.

## Properties
The value obtained for the size of the total moment is 0.00 μB/cell. The calculated formation energy comes out at -0.441 eV/atom. The calculation puts the density of states at the Fermi level at 0.50 states/eV/atom.

abc: 7.8853 7.8853 5.7631
angles: 88.89 88.89 66.97
Last column: nearest neighbours and their distance in Å.
Atoms (fractional coordinates):
1 Ni 0.3778 0.3778 0.8733  4 B 2.05-2.12
2 Ni 0.6228 0.1222 0.0744  4 B 2.08-2.14
3 Ni 0.2892 0.7701 0.3011  3 B 2.06-2.17
4 Ni 0.4829 0.9544 0.3021  4 B 2.13-2.34
5 Ni 0.8376 0.8376 0.7037  4 B 2.09-2.31
6 Ni 0.6222 0.6222 0.1267  4 B 2.05-2.12
7 Ni 0.1222 0.6228 0.0744  4 B 2.08-2.14
8 Ni 0.8778 0.3772 0.9256  4 B 2.08-2.14
9 Ni 0.9544 0.4829 0.3021  4 B 2.13-2.34
10 Ni 0.1815 0.1815 0.7293  4 B 2.03-2.13
11 Ni 0.7701 0.2892 0.3011  3 B 2.06-2.17
12 Ni 0.7108 0.2299 0.6989  3 B 2.06-2.17
13 Ni 0.0000 0.0000 0.5000  4 B 2.27, 2 Ni 2.41
14 Ni 0.1624 0.1624 0.2963  4 B 2.09-2.31
15 Ni 0.0456 0.5171 0.6979  4 B 2.13-2.34
16 Ni 0.8185 0.8185 0.2707  4 B 2.03-2.13
17 Ni 0.3772 0.8778 0.9256  4 B 2.08-2.14
18 Ni 0.5171 0.0456 0.6979  4 B 2.13-2.34
19 Ni 0.2299 0.7108 0.6989  3 B 2.06-2.17
20 Er 0.6259 0.6259 0.6142  6 B 2.77-2.92, 11 Ni 2.81-3.06
21 Er 0.0000 0.0000 0.0000  14 Ni 2.77-2.88
22 Er 0.3741 0.3741 0.3858  6 B 2.77-2.92, 11 Ni 2.81-3.06
23 B 0.9344 0.3012 0.5692  6 Ni 2.03-2.27
24 B 0.3495 0.1426 0.0258  1 B 1.80
25 B 0.6505 0.8574 0.9742  1 B 1.80
26 B 0.6988 0.0656 0.4308  6 Ni 2.03-2.27
27 B 0.8574 0.6505 0.9742  1 B 1.80
28 B 0.3012 0.9344 0.5692  6 Ni 2.03-2.27
29 B 0.1426 0.3495 0.0258  1 B 1.80
30 B 0.6156 0.3844 0.0000  1 B 2.01, 6 Ni 2.05-2.09
31 B 0.3844 0.6156 0.0000  1 B 2.01, 6 Ni 2.05-2.09
32 B 0.0656 0.6988 0.4308  6 Ni 2.03-2.27